Compound: Y2Ho2CIBr2Cl2
Source: OQMD
Functional: GGA-PBE
Structure: optimized geometry

**V**: 26.9 Å³ per atom
**Uncorrected energy**: -5.46 eV per atom
**Total magnetization**: 0.28 μB per cell

a = 8.7565 Å, b = 8.7565 Å, c = 8.4614 Å
α = 103.70°, β = 103.70°, γ = 25.26°
Each line ends with the local moment (μB).
Fractional positions:
Br 0.1708 0.1708 0.3296  0.00
Br 0.8292 0.8292 0.6704  0.00
C 0.5000 0.5000 0.0000  0.00
Cl 0.8298 0.8298 0.1465  0.00
Cl 0.1702 0.1702 0.8535  0.00
Ho 0.9988 0.9988 0.1901  0.03
Ho 0.0012 0.0012 0.8099  0.03
I 0.5000 0.5000 0.5000  0.00
Y 0.6448 0.6448 0.0727  0.05
Y 0.3552 0.3552 0.9273  0.05

***

Compound: TlNi3SnS2
Source: OQMD
Functional: GGA-PBE
Structure: optimized geometry

**V**: 17.1 Å³ per atom
**Total magnetization**: 0.11 μB per cell
**E above lowest polymorph**: 0.011 eV per atom

a = 5.5237 Å, b = 5.5237 Å, c = 5.5237 Å
α = 60.31°, β = 60.31°, γ = 60.31°
Fractional positions:
Ni 0.5000 0.5000 0.0000
Ni 0.5000 0.0000 0.5000
Ni 0.0000 0.5000 0.5000
S 0.2244 0.2244 0.2244
S 0.7756 0.7756 0.7756
Sn 0.5000 0.5000 0.5000
Tl 0.0000 0.0000 0.0000

***

Compound: ScCu4NiB2
Source: OQMD
Functional: GGA-PBE
Structure: optimized geometry

**V**: 11.4 Å³ per atom
**Uncorrected energy**: -4.68 eV per atom
**Total magnetization**: 0.01 μB per cell

a = 3.8139 Å, b = 3.8139 Å, c = 6.2758 Å
α = 90.00°, β = 90.00°, γ = 90.00°
Fractional positions:
B 0.0000 0.0000 0.0000
B 0.5000 0.5000 0.5000
Cu 0.5000 0.0000 0.2206
Cu 0.0000 0.5000 0.2206
Cu 0.5000 0.0000 0.7794
Cu 0.0000 0.5000 0.7794
Ni 0.5000 0.5000 0.0000
Sc 0.0000 0.0000 0.5000

***

Compound: GdLuPO
Source: OQMD
Functional: GGA-PBE
Structure: optimized geometry

**V**: 19.3 Å³ per atom
**Total magnetization**: 0.01 μB per cell
**E above lowest polymorph**: 0.195 eV per atom

a = 4.2915 Å, b = 4.2915 Å, c = 8.3817 Å
α = 90.00°, β = 90.00°, γ = 90.00°
Fractional positions:
Gd 0.5000 0.0000 0.5000
Gd 0.0000 0.5000 0.5000
Lu 0.0000 0.0000 0.0921
Lu 0.5000 0.5000 0.9079
O 0.5000 0.0000 0.0000
O 0.0000 0.5000 0.0000
P 0.5000 0.5000 0.2929
P 0.0000 0.0000 0.7071

***

Compound: AlCd2Tc
Source: OQMD
Functional: GGA-PBE
Structure: optimized geometry

**V**: 17.2 Å³ per atom
**Uncorrected energy**: -3.69 eV per atom
**Total magnetization**: 0.01 μB per cell

a = 4.6038 Å, b = 4.6038 Å, c = 4.6038 Å
α = 60.00°, β = 60.00°, γ = 60.00°
Fractional positions:
Al 0.5000 0.5000 0.5000
Cd 0.0000 0.0000 0.0000
Cd 0.7500 0.7500 0.7500
Tc 0.2500 0.2500 0.2500

***

Compound: Ni3OsCl
Source: OQMD
Functional: GGA-PBE
Structure: optimized geometry

**V**: 13.6 Å³ per atom
**Uncorrected energy**: -4.86 eV per atom
**Total magnetization**: 1.99 μB per cell

a = 4.0862 Å, b = 4.0862 Å, c = 4.0862 Å
α = 90.00°, β = 90.00°, γ = 90.00°
Each line ends with the local moment (μB).
Fractional positions:
Cl 0.0000 0.0000 0.0000  0.01
Ni 0.5000 0.0000 0.0000  0.26
Ni 0.0000 0.5000 0.0000  0.15
Ni 0.0000 0.0000 0.5000  0.11
Os 0.5000 0.5000 0.5000  1.39

***

Compound: La2Mg4PdPt
Source: OQMD
Functional: GGA-PBE
Structure: optimized geometry

**V**: 23.6 Å³ per atom
**Uncorrected energy**: -4.05 eV per atom
**Total magnetization**: 0.01 μB per cell

a = 8.3463 Å, b = 5.6706 Å, c = 5.6706 Å
α = 44.82°, β = 90.00°, γ = 90.00°
Fractional positions:
La 0.5000 0.0618 0.0618
La 0.0000 0.9401 0.9401
Mg 0.3055 0.3461 0.3461
Mg 0.6945 0.3461 0.3461
Mg 0.1964 0.6538 0.6538
Mg 0.8036 0.6538 0.6538
Pd 0.0000 0.2243 0.2243
Pt 0.5000 0.7741 0.7741

***

Compound: TaSi2Tc2
Source: OQMD
Functional: GGA-PBE
Structure: optimized geometry

**V**: 14.4 Å³ per atom
**Uncorrected energy**: -9.08 eV per atom
**Total magnetization**: 0.02 μB per cell

a = 6.9411 Å, b = 6.9411 Å, c = 2.9814 Å
α = 90.00°, β = 90.00°, γ = 90.00°
Fractional positions:
Si 0.6393 0.1393 0.0000
Si 0.1393 0.3607 0.0000
Si 0.8607 0.6393 0.0000
Si 0.3607 0.8607 0.0000
Ta 0.0000 0.0000 0.0000
Ta 0.5000 0.5000 0.0000
Tc 0.3468 0.1532 0.5000
Tc 0.8468 0.3468 0.5000
Tc 0.1532 0.6532 0.5000
Tc 0.6532 0.8468 0.5000

***

Compound: LiHfNiGe
Source: OQMD
Functional: GGA-PBE
Structure: optimized geometry

**V**: 14.1 Å³ per atom
**Total magnetization**: 0.00 μB per cell
**E above lowest polymorph**: 0.000 eV per atom

a = 4.3010 Å, b = 4.3010 Å, c = 4.3010 Å
α = 60.00°, β = 60.00°, γ = 60.00°
Fractional positions:
Ge 0.0000 0.0000 0.0000
Hf 0.5000 0.5000 0.5000
Li 0.2500 0.2500 0.2500
Ni 0.7500 0.7500 0.7500

***

Compound: DyLuAl4Ni2
Source: OQMD
Functional: GGA-PBE
Structure: optimized geometry

**V**: 17.4 Å³ per atom
**Uncorrected energy**: -5.05 eV per atom
**Total magnetization**: 0.00 μB per cell

a = 6.8735 Å, b = 5.4073 Å, c = 5.4073 Å
α = 43.92°, β = 90.00°, γ = 90.00°
Fractional positions:
Al 0.1977 0.1549 0.1549
Al 0.8023 0.1549 0.1549
Al 0.3054 0.8442 0.8442
Al 0.6946 0.8442 0.8442
Dy 0.0000 0.4390 0.4390
Lu 0.5000 0.5613 0.5613
Ni 0.5000 0.2853 0.2853
Ni 0.0000 0.7163 0.7163

***

Compound: MgTePtO
Source: OQMD
Functional: GGA-PBE
Structure: optimized geometry

**V**: 19.6 Å³ per atom
**Total magnetization**: 0.01 μB per cell
**E above lowest polymorph**: 1.025 eV per atom

a = 4.2054 Å, b = 4.2054 Å, c = 8.8868 Å
α = 90.00°, β = 90.00°, γ = 90.00°
Fractional positions:
Mg 0.7500 0.7500 0.2134
Mg 0.2500 0.2500 0.7866
O 0.7500 0.2500 0.5000
O 0.2500 0.7500 0.5000
Pt 0.2500 0.2500 0.4566
Pt 0.7500 0.7500 0.5434
Te 0.2500 0.2500 0.1433
Te 0.7500 0.7500 0.8567

***

Compound: TbHoZr
Source: OQMD
Functional: GGA-PBE
Structure: optimized geometry

**V**: 28.1 Å³ per atom
**Total magnetization**: 1.77 μB per cell
**E above lowest polymorph**: 0.000 eV per atom

a = 5.3501 Å, b = 5.3501 Å, c = 10.1954 Å
α = 90.00°, β = 90.00°, γ = 120.00°
Each line ends with the local moment (μB).
Fractional positions:
Ho 0.0000 0.0000 0.0000  0.10
Ho 0.6667 0.3333 0.3294  0.11
Ho 0.6667 0.3333 0.6706  0.11
Tb 0.3333 0.6667 0.1669  0.05
Tb 0.3333 0.6667 0.5000  0.05
Tb 0.3333 0.6667 0.8331  0.06
Zr 0.6667 0.3333 0.0000  0.18
Zr 0.0000 0.0000 0.3402  0.29
Zr 0.0000 0.0000 0.6598  0.29

***

Compound: HfZnFeHg
Source: OQMD
Functional: GGA-PBE
Structure: optimized geometry

**V**: 17.1 Å³ per atom
**Total magnetization**: 1.79 μB per cell
**E above lowest polymorph**: 0.000 eV per atom

a = 4.5942 Å, b = 4.5942 Å, c = 4.5942 Å
α = 60.00°, β = 60.00°, γ = 60.00°
Fractional positions:
Fe 0.7500 0.7500 0.7500
Hf 0.5000 0.5000 0.5000
Hg 0.2500 0.2500 0.2500
Zn 0.0000 0.0000 0.0000

***

Compound: Rb2Ta3Hg4
Source: OQMD
Functional: GGA-PBE
Structure: optimized geometry

**V**: 26.7 Å³ per atom
**Uncorrected energy**: -3.35 eV per atom
**Total magnetization**: 0.89 μB per cell

a = 9.8469 Å, b = 2.8607 Å, c = 9.8521 Å
α = 90.00°, β = 119.98°, γ = 90.00°
Each line ends with the local moment (μB).
Fractional positions:
Hg 0.3528 0.0000 0.0263  0.00
Hg 0.9739 0.0000 0.3265  0.00
Hg 0.6666 0.0000 0.3333  0.00
Hg 0.6735 0.0000 0.6472  0.00
Rb 0.0000 0.5000 0.0000  0.01
Rb 0.3334 0.0000 0.6667  0.01
Ta 0.6649 0.5000 0.0813  0.16
Ta 0.4163 0.5000 0.3352  0.16
Ta 0.9188 0.5000 0.5836  0.16

***

Compound: YEr2Tm4Ni2Se2
Source: OQMD
Functional: GGA-PBE
Structure: optimized geometry

**V**: 23.6 Å³ per atom
**Uncorrected energy**: -5.52 eV per atom
**Total magnetization**: 0.01 μB per cell

a = 8.9788 Å, b = 8.9788 Å, c = 8.9788 Å
α = 155.75°, β = 67.40°, γ = 118.20°
Fractional positions:
Er 0.0990 0.7408 0.3582
Er 0.3826 0.7408 0.6418
Ni 0.6448 0.4059 0.2389
Ni 0.1669 0.4059 0.7611
Se 0.1406 0.1406 0.0000
Se 0.7415 0.2415 0.5000
Tm 0.0209 0.8949 0.1260
Tm 0.4165 0.0999 0.3166
Tm 0.7833 0.0999 0.6834
Tm 0.7688 0.8949 0.8740
Y 0.4812 0.4812 0.0000

***

Compound: Gd2Pt2O5
Source: OQMD
Functional: GGA-PBE
Structure: optimized geometry

**V**: 14.4 Å³ per atom
**Total magnetization**: 0.14 μB per cell
**E above lowest polymorph**: 0.161 eV per atom

a = 9.1962 Å, b = 3.7479 Å, c = 3.7479 Å
α = 90.00°, β = 90.00°, γ = 90.00°
Each line ends with the local moment (μB).
Fractional positions:
Gd 0.2608 0.5000 0.5000  0.01
Gd 0.7392 0.5000 0.5000  0.01
O 0.1308 0.5000 0.0000  0.01
O 0.8692 0.5000 0.0000  0.01
O 0.1308 0.0000 0.5000  0.01
O 0.8692 0.0000 0.5000  0.01
O 0.5000 0.5000 0.5000  0.00
Pt 0.0000 0.0000 0.0000  0.11
Pt 0.5000 0.0000 0.0000  0.00

***

Compound: Ac2Pd5Au5
Source: OQMD
Functional: GGA-PBE
Structure: optimized geometry

**V**: 20.6 Å³ per atom
**Uncorrected energy**: -4.86 eV per atom
**Total magnetization**: 0.01 μB per cell

a = 4.6118 Å, b = 5.5627 Å, c = 9.6331 Å
α = 90.00°, β = 90.00°, γ = 90.00°
Fractional positions:
Ac 0.0000 0.0000 0.0000
Ac 0.0000 0.5000 0.5000
Au 0.5000 0.2506 0.2468
Au 0.5000 0.7494 0.2468
Au 0.5000 0.0000 0.5000
Au 0.5000 0.2506 0.7532
Au 0.5000 0.7494 0.7532
Pd 0.5000 0.5000 0.0000
Pd 0.0000 0.5000 0.1633
Pd 0.0000 0.0000 0.3344
Pd 0.0000 0.0000 0.6656
Pd 0.0000 0.5000 0.8367

***

Compound: LaTb2Mg3Tl2In
Source: OQMD
Functional: GGA-PBE
Structure: optimized geometry

**V**: 26.4 Å³ per atom
**Uncorrected energy**: -3.29 eV per atom
**Total magnetization**: 0.01 μB per cell

a = 4.7270 Å, b = 7.6438 Å, c = 7.6438 Å
α = 120.70°, β = 90.00°, γ = 90.00°
Fractional positions:
In 0.0000 0.9911 0.9911
La 0.0000 0.4355 0.4355
Mg 0.5000 0.9991 0.2399
Mg 0.5000 0.7596 0.7596
Mg 0.5000 0.2399 0.9991
Tb 0.0000 0.5706 0.0013
Tb 0.0000 0.0013 0.5706
Tl 0.5000 0.6730 0.3298
Tl 0.5000 0.3298 0.6730

***

Compound: ErGa2Re
Source: OQMD
Functional: GGA-PBE
Structure: optimized geometry

**V**: 17.6 Å³ per atom
**Uncorrected energy**: -5.76 eV per atom
**Total magnetization**: 0.06 μB per cell

a = 5.1068 Å, b = 5.1068 Å, c = 5.5262 Å
α = 90.00°, β = 90.00°, γ = 102.73°
Fractional positions:
Er 0.0000 0.0000 0.0000
Er 0.0000 0.0000 0.5000
Ga 0.5095 0.1052 0.2500
Ga 0.8948 0.4905 0.2500
Ga 0.1052 0.5095 0.7500
Ga 0.4905 0.8948 0.7500
Re 0.4123 0.5877 0.2500
Re 0.5877 0.4123 0.7500

***

Compound: HfBeSi
Source: OQMD
Functional: GGA-PBE
Structure: optimized geometry

**V**: 16.6 Å³ per atom
**Total magnetization**: 0.00 μB per cell
**E above lowest polymorph**: 0.753 eV per atom

a = 4.1319 Å, b = 4.1319 Å, c = 4.1319 Å
α = 60.00°, β = 60.00°, γ = 60.00°
Fractional positions:
Be 0.2500 0.2500 0.2500
Hf 0.7500 0.7500 0.7500
Si 0.0000 0.0000 0.0000